(1)
Entry from Alexandria via LeMat-Bulk: an optimized crystal structure of LaPb5 (GGA-PBEsol).

Lattice parameters (Å, degrees): 8.1093 8.1093 4.6861 90.00 90.00 145.13
Sites, in units of the cell vectors:
La 0.0000 0.0000 0.0000
Pb 0.1709 0.8291 0.5000
Pb 0.3372 0.6628 0.0000
Pb 0.5000 0.5000 0.5000
Pb 0.6628 0.3372 0.0000
Pb 0.8291 0.1709 0.5000

For the total energy, the calculation gives -26.81 eV/cell. The calculation puts the density of states at the Fermi level at 0.68 states/eV per atom. The formation energy comes out at -0.246 eV per atom. Its size of the total moment is 0.000 μB per atom.

---

(2)
Entry from Alexandria via LeMat-Bulk: an optimized crystal structure of CoIr5 (GGA-PBEsol).

Lattice parameters (Å, degrees): 4.6637 4.6637 4.3148 90.00 90.00 120.00
Sites, in units of the cell vectors:
Co 0.0000 0.0000 0.0000
Ir 0.0000 0.3267 0.5000
Ir 0.3267 0.0000 0.5000
Ir 0.3333 0.6667 0.0000
Ir 0.6667 0.3333 0.0000
Ir 0.6733 0.6733 0.5000

For the total energy, the calculation gives -56.47 eV/cell. The calculation puts the density of states at the Fermi level at 1.26 states/eV per atom. The formation energy comes out at 0.064 eV per atom. Its size of the total moment is 0.223 μB per atom.

---

(3)
Entry from Alexandria via LeMat-Bulk: an optimized crystal structure of SiSe (GGA-PBEsol).

Lattice parameters (Å, degrees): 3.2714 3.2714 3.2714 90.00 90.00 90.00
Sites, in units of the cell vectors:
Si 0.0000 0.0000 0.0000
Se 0.5000 0.5000 0.5000

For the total energy, the calculation gives -8.93 eV/cell. The calculation puts the density of states at the Fermi level at 0.54 states/eV per atom. As for the uncorrected formation energy: 332 meV per atom. Its size of the total moment is 0.000 μB per atom.

---

(4)
Entry from Alexandria via LeMat-Bulk: an optimized crystal structure of CsK2Rb2 (GGA-PBEsol).

Lattice parameters (Å, degrees): 13.0248 13.0248 5.0109 90.00 90.00 90.00
Sites, in units of the cell vectors:
Cs 0.0000 0.0000 0.0000
Cs 0.5000 0.5000 0.0000
K 0.1682 0.3318 0.5000
K 0.3318 0.8318 0.5000
K 0.6682 0.1682 0.5000
K 0.8318 0.6682 0.5000
Rb 0.1291 0.6291 0.0000
Rb 0.3709 0.1291 0.0000
Rb 0.6291 0.8709 0.0000
Rb 0.8709 0.3709 0.0000

For the total energy, the calculation gives -10.35 eV/cell. The calculation puts the density of states at the Fermi level at 0.87 states/eV per atom. The formation energy comes out at 0.017 eV per atom. Its size of the total moment is 0.000 μB per atom.

---

(5)
Entry from Alexandria via LeMat-Bulk: an optimized crystal structure of TaBeAg2 (GGA-PBEsol).

Lattice parameters (Å, degrees): 9.0164 9.0164 9.0164 17.97 17.97 17.97
Sites, in units of the cell vectors:
Ta 0.0000 0.0000 0.0000
Be 0.2546 0.2546 0.2546
Ag 0.5160 0.5160 0.5160
Ag 0.7587 0.7587 0.7587

For the total energy, the calculation gives -22.15 eV/cell. The calculation puts the density of states at the Fermi level at 0.57 states/eV per atom. The formation energy comes out at 0.257 eV per atom. Its size of the total moment is 0.000 μB per atom.

---

(6)
Entry from Alexandria via LeMat-Bulk: an optimized crystal structure of MgTeSe3 (GGA-PBEsol).

Lattice parameters (Å, degrees): 4.9353 4.9353 4.9353 90.00 90.00 90.00
Sites, in units of the cell vectors:
Mg 0.0000 0.0000 0.0000
Te 0.5000 0.5000 0.5000
Se 0.0000 0.0000 0.5000
Se 0.0000 0.5000 0.0000
Se 0.5000 0.0000 0.0000

For the total energy, the calculation gives -16.00 eV/cell. The calculation puts the density of states at the Fermi level at 0.84 states/eV per atom. As for the uncorrected formation energy: 158 meV per atom. Its size of the total moment is 0.000 μB per atom.

---

(7)
Entry from Alexandria via LeMat-Bulk: an optimized crystal structure of Ba2ReMo (GGA-PBEsol).

Lattice parameters (Å, degrees): 6.2936 6.2936 2.9334 90.00 90.00 124.42
Sites, in units of the cell vectors:
Ba 0.0000 0.5000 0.0000
Ba 0.5000 0.0000 0.0000
Re 0.0000 0.0000 0.5000
Mo 0.5000 0.5000 0.5000

For the total energy, the calculation gives -23.14 eV/cell. The calculation puts the density of states at the Fermi level at 1.03 states/eV per atom. The formation energy comes out at 1.565 eV per atom. Its size of the total moment is 0.000 μB per atom.

---

(8)
Entry from Alexandria via LeMat-Bulk: an optimized crystal structure of LiTeO3 (GGA-PBEsol).

Lattice parameters (Å, degrees): 5.1380 5.1898 9.0749 90.00 90.00 90.00
Sites, in units of the cell vectors:
Li 0.0000 0.0000 0.0000
Li 0.0000 0.5000 0.3254
Li 0.5000 0.0000 0.8254
Li 0.5000 0.5000 0.5000
Te 0.0000 0.0000 0.5713
Te 0.0000 0.5000 0.7657
Te 0.5000 0.0000 0.2657
Te 0.5000 0.5000 0.0713
O 0.2030 0.3195 0.9087
O 0.2105 0.8155 0.7378
O 0.2110 0.3414 0.6087
O 0.2890 0.8414 0.1087
O 0.2895 0.3155 0.2378
O 0.2970 0.8195 0.4087
O 0.7030 0.1805 0.4087
O 0.7105 0.6845 0.2378
O 0.7110 0.1586 0.1087
O 0.7890 0.6586 0.6087
O 0.7895 0.1845 0.7378
O 0.7970 0.6805 0.9087

For the total energy, the calculation gives -112.35 eV/cell. The calculation puts the density of states at the Fermi level at 0.00 states/eV per atom. As for the uncorrected formation energy: -1370 meV per atom. Its size of the total moment is 0.000 μB per atom.

---

(9)
Entry from Alexandria via LeMat-Bulk: an optimized crystal structure of SrTe2Br (GGA-PBEsol).

Lattice parameters (Å, degrees): 4.3194 4.3188 6.9659 90.00 90.26 90.00
Sites, in units of the cell vectors:
Sr 0.0000 0.0000 0.0000
Te 0.0034 0.5000 0.3782
Te 0.5034 0.0000 0.3783
Br 0.4994 0.5000 0.8774

For the total energy, the calculation gives -15.41 eV/cell. The calculation puts the density of states at the Fermi level at 0.18 states/eV per atom. As for the uncorrected formation energy: -1162 meV per atom. Its size of the total moment is 0.000 μB per atom.

---

(10)
Entry from Alexandria via LeMat-Bulk: an optimized crystal structure of CaNClO2 (GGA-PBEsol).

Lattice parameters (Å, degrees): 4.4814 4.4814 4.9062 90.00 90.00 90.00
Sites, in units of the cell vectors:
Ca 0.0000 0.0000 0.0000
N 0.0000 0.0000 0.5000
Cl 0.5000 0.5000 0.5000
O 0.0000 0.5000 0.0000
O 0.5000 0.0000 0.0000

For the total energy, the calculation gives -19.78 eV/cell. The calculation puts the density of states at the Fermi level at 0.49 states/eV per atom. As for the uncorrected formation energy: 677 meV per atom. Its size of the total moment is 1.200 μB per atom.

---

(11)
Entry from Alexandria via LeMat-Bulk: an optimized crystal structure of CsSc2Bi2 (GGA-PBEsol).

Lattice parameters (Å, degrees): 8.3470 8.3470 8.3470 145.81 145.81 49.13
Sites, in units of the cell vectors:
Cs 0.0000 0.0000 0.0000
Sc 0.2500 0.7500 0.5000
Sc 0.7500 0.2500 0.5000
Bi 0.3575 0.3575 0.0000
Bi 0.6425 0.6425 0.0000

For the total energy, the calculation gives -25.33 eV/cell. The calculation puts the density of states at the Fermi level at 0.58 states/eV per atom. The formation energy comes out at -0.521 eV per atom. Its size of the total moment is 0.169 μB per atom.

---

(12)
Entry from Alexandria via LeMat-Bulk: an optimized crystal structure of Al2ZnOs (GGA-PBEsol).

Lattice parameters (Å, degrees): 4.8480 4.8480 4.3426 111.81 111.81 36.50
Sites, in units of the cell vectors:
Al 0.0000 0.0000 0.0000
Al 0.2370 0.2370 0.6272
Zn 0.7529 0.7529 0.1432
Os 0.4980 0.4980 0.5143

For the total energy, the calculation gives -22.93 eV/cell. The calculation puts the density of states at the Fermi level at 0.21 states/eV per atom. The formation energy comes out at -0.237 eV per atom. Its size of the total moment is 0.000 μB per atom.